No. 1
K2FeW after structural relaxation. Source: the Alexandria database, functional PBE-GGA.

Output
Electronic total energy   -17.411 eV/cell
Space group   P2/m
ΔE to the lowest computed polymorph   649.5 meV per atom
Energy of formation   1.550 eV/atom

a b c (Å): 6.0660 2.7491 7.1501
angles (deg): 45.92 90.00 90.00
Site moments in Bohr magnetons follow the coordinates.
Fractional positions:
1 K 0.0000 0.0334 0.9950  -0.03
2 K 0.0000 0.4666 0.5050  -0.03
3 Fe 0.5000 0.7500 0.7500  2.54
4 W 0.5000 0.2500 0.2500  -0.43

***

No. 2
Er3Be4Co4 after structural relaxation. Source: the Alexandria database, functional PBE-GGA.

Output
Electronic total energy   -59.272 eV/cell
Space group   I-43m
Energy of formation   -0.205 eV/atom

a b c (Å): 5.9014 5.9014 5.9014
angles (deg): 109.47 109.47 109.47
Fractional positions:
1 Co 0.0000 0.0000 0.2535
2 Co 0.7465 0.7465 0.7465
3 Co 0.2535 0.0000 0.0000
4 Co 0.0000 0.2535 0.0000
5 Er 0.5000 0.5000 0.0000
6 Er 0.0000 0.5000 0.5000
7 Er 0.5000 0.0000 0.5000
8 Be 0.0000 0.0000 0.6195
9 Be 0.6195 0.0000 0.0000
10 Be 0.3805 0.3805 0.3805
11 Be 0.0000 0.6195 0.0000

***

No. 3
PrHoTh after structural relaxation. Source: the Alexandria database, functional PBE-GGA.

Output
Electronic total energy   -16.668 eV/cell
Space group   I4mm
ΔE to the lowest computed polymorph   8.7 meV per atom
Energy of formation   0.036 eV/atom

a b c (Å): 3.6180 3.6180 8.0361
angles (deg): 103.01 103.01 90.00
Fractional positions:
1 Th 0.3305 0.3305 0.6610
2 Pr 0.9941 0.9941 0.9881
3 Ho 0.6754 0.6754 0.3509

***

No. 4
Sm6GaIr2I3 after structural relaxation. Source: the Alexandria database, functional PBE-GGA.

Output
Formation energy from raw total energies   -0.882 eV per atom
Electronic total energy   -64.298 eV/cell
Space group   C2/m

a b c (Å): 7.3197 7.3197 8.3598
angles (deg): 98.41 98.41 119.94
Fractional positions:
1 I 0.8374 0.1626 0.5000
2 I 0.1626 0.8374 0.5000
3 I 0.5000 0.5000 0.5000
4 Sm 0.4137 0.0629 0.1890
5 Sm 0.7117 0.7117 0.1874
6 Sm 0.9371 0.5863 0.8110
7 Sm 0.5863 0.9371 0.8110
8 Sm 0.2883 0.2883 0.8126
9 Sm 0.0629 0.4137 0.1890
10 Ir 0.6671 0.3329 0.0000
11 Ir 0.3329 0.6671 0.0000
12 Ga 0.0000 0.0000 0.0000

***

No. 5
LaTb3Mn after structural relaxation. Source: the Alexandria database, functional PBE-GGA.

Output
Electronic total energy   -26.875 eV/cell
Space group   Pm-3m
Energy of formation   0.223 eV/atom

a b c (Å): 5.3773 5.3773 5.3773
angles (deg): 90.00 90.00 90.00
Site moments in Bohr magnetons follow the coordinates.
Fractional positions:
1 La 0.5000 0.5000 0.5000  -0.13
2 Tb 0.5000 0.0000 0.0000  -0.14
3 Tb 0.0000 0.5000 0.0000  -0.14
4 Tb 0.0000 0.0000 0.5000  -0.14
5 Mn 0.0000 0.0000 0.0000  1.54

***

No. 6
BaLiNdGa after structural relaxation. Source: the Alexandria database, functional PBE-GGA.

Output
Electronic total energy   -12.057 eV/cell
Space group   F-43m
Energy of formation   -0.106 eV/atom

a b c (Å): 5.5666 5.5666 5.5666
angles (deg): 60.00 60.00 60.00
Fractional positions:
1 Li 0.7500 0.7500 0.7500
2 Ba 0.5000 0.5000 0.5000
3 Ga 0.2500 0.2500 0.2500
4 Nd 0.0000 0.0000 0.0000

***

No. 7
ScBe2Ag after structural relaxation. Source: the Alexandria database, functional PBE-GGA.

Output
Electronic total energy   -16.229 eV/cell
Space group   C2
ΔE to the lowest computed polymorph   108.2 meV per atom
Energy of formation   0.102 eV/atom

a b c (Å): 4.3353 4.3354 4.3569
angles (deg): 120.00 120.00 89.85
Fractional positions:
1 Sc 0.5001 0.4999 0.0000
2 Be 0.9998 0.0002 0.0000
3 Be 0.2505 0.7495 0.5000
4 Ag 0.7496 0.2504 0.5000

***

No. 8
La2ZrIF after structural relaxation. Source: the Alexandria database, functional PBE-GGA.

Output
Formation energy from raw total energies   0.100 eV per atom
Electronic total energy   -21.326 eV/cell
Space group   P4/mmm

a b c (Å): 6.0755 5.1787 6.0755
angles (deg): 90.00 90.00 90.00
Fractional positions:
1 La 0.5000 0.0000 0.0000
2 La 0.0000 0.0000 0.5000
3 I 0.0000 0.0000 0.0000
4 Zr 0.0000 0.5000 0.0000
5 F 0.5000 0.5000 0.5000

***

No. 9
PmDy2Cl after structural relaxation. Source: the Alexandria database, functional PBE-GGA.

Output
Formation energy from raw total energies   -0.384 eV per atom
Electronic total energy   -17.337 eV/cell
Space group   R-3m

a b c (Å): 3.4430 3.4430 11.3766
angles (deg): 81.30 81.30 60.00
Fractional positions:
1 Cl 0.5000 0.5000 0.5000
2 Pm 0.0000 0.0000 0.0000
3 Dy 0.1010 0.1010 0.6971
4 Dy 0.8990 0.8990 0.3029

***

No. 10
NaMg2Ga3 after structural relaxation. Source: the Alexandria database, functional PBE-GGA.

Output
Electronic total energy   -28.035 eV/cell
Space group   Cmcm
Energy of formation   -0.071 eV/atom

a b c (Å): 5.8357 6.7782 6.7782
angles (deg): 92.40 90.00 90.00
Fractional positions:
1 Mg 0.0000 0.7524 0.2476
2 Mg 0.5000 0.7524 0.2476
3 Mg 0.5000 0.2476 0.7524
4 Mg 0.0000 0.2476 0.7524
5 Na 0.2500 0.2805 0.2805
6 Na 0.7500 0.7195 0.7195
7 Ga 0.2500 0.9549 0.9549
8 Ga 0.7500 0.0987 0.4294
9 Ga 0.2500 0.9013 0.5706
10 Ga 0.7500 0.0451 0.0451
11 Ga 0.7500 0.4294 0.0987
12 Ga 0.2500 0.5706 0.9013

***

No. 11
Ba2TcAu after structural relaxation. Source: the Alexandria database, functional PBE-GGA.

Output
Electronic total energy   -15.723 eV/cell
Space group   Fm-3m
ΔE to the lowest computed polymorph   284.7 meV per atom
Energy of formation   0.441 eV/atom

a b c (Å): 5.6392 5.6392 5.6392
angles (deg): 60.00 60.00 60.00
Site moments in Bohr magnetons follow the coordinates.
Fractional positions:
1 Au 0.5000 0.5000 0.5000  0.00
2 Ba 0.2500 0.2500 0.2500  -0.06
3 Ba 0.7500 0.7500 0.7500  -0.06
4 Tc 0.0000 0.0000 0.0000  2.33

***

No. 12
TiMn3Rh after structural relaxation. Source: the Alexandria database, functional PBE-GGA.

Output
Electronic total energy   -35.836 eV/cell
Space group   Pm-3m
ΔE to the lowest computed polymorph   422.5 meV per atom
Energy of formation   1.384 eV/atom

a b c (Å): 4.1625 4.1625 4.1625
angles (deg): 90.00 90.00 90.00
Fractional positions:
1 Mn 0.0000 0.0000 0.5000
2 Mn 0.5000 0.0000 0.0000
3 Mn 0.0000 0.5000 0.0000
4 Ti 0.0000 0.0000 0.0000
5 Rh 0.5000 0.5000 0.5000

***

No. 13
Hf2CuNi2 after structural relaxation. Source: the Alexandria database, functional PBE-GGA.

Output
Electronic total energy   -74.984 eV/cell
Space group   P4/mbm
Energy of formation   -0.385 eV/atom

a b c (Å): 6.8851 6.8851 3.2869
angles (deg): 90.00 90.00 90.00
Fractional positions:
1 Hf 0.3255 0.1745 0.5000
2 Hf 0.1745 0.6745 0.5000
3 Hf 0.6745 0.8255 0.5000
4 Hf 0.8255 0.3255 0.5000
5 Cu 0.0000 0.0000 0.0000
6 Cu 0.5000 0.5000 0.0000
7 Ni 0.6265 0.1265 0.0000
8 Ni 0.8735 0.6265 0.0000
9 Ni 0.1265 0.3735 0.0000
10 Ni 0.3735 0.8735 0.0000

***

No. 14
LaSm2AgRu after structural relaxation. Source: the Alexandria database, functional PBE-GGA.

Output
Electronic total energy   -26.853 eV/cell
Space group   P4mm
Energy of formation   -0.072 eV/atom

a b c (Å): 5.4025 5.4026 5.5457
angles (deg): 90.00 90.00 90.00
Fractional positions:
1 Sm 0.5000 0.0000 0.9504
2 Sm 0.0000 0.5000 0.9504
3 La 0.0000 0.0000 0.4760
4 Ag 0.5000 0.5000 0.6051
5 Ru 0.0000 0.0000 0.0182

***

No. 15
Ce6IrRu5 after structural relaxation. Source: the Alexandria database, functional PBE-GGA.

Output
Electronic total energy   -94.404 eV/cell
Space group   C2/m
ΔE to the lowest computed polymorph   81.2 meV per atom
Energy of formation   -0.297 eV/atom

a b c (Å): 7.2305 6.8117 6.4493
angles (deg): 58.12 82.62 75.93
Fractional positions:
1 Ce 0.2114 0.2717 0.0000
2 Ce 0.2765 0.9047 0.6602
3 Ce 0.7235 0.0953 0.3398
4 Ce 0.7886 0.7283 0.0000
5 Ce 0.2765 0.5650 0.3398
6 Ce 0.7235 0.4350 0.6602
7 Ru 0.5000 0.5000 0.0000
8 Ru 0.0000 0.7178 0.5644
9 Ru 0.0000 0.2822 0.4356
10 Ru 0.5000 0.1306 0.7388
11 Ru 0.5000 0.8694 0.2612
12 Ir 0.0000 0.0000 0.0000

***

No. 16
PuAg3O2F6 after structural relaxation. Source: the Alexandria database, functional PBE-GGA.

Output
Formation energy from raw total energies   -1.711 eV per atom
Electronic total energy   -64.561 eV/cell
Space group   C2/m

a b c (Å): 5.0766 6.9670 8.5593
angles (deg): 114.02 125.51 90.00
Site moments in Bohr magnetons follow the coordinates.
Fractional positions:
1 F 0.5406 0.1442 0.2884  -0.05
2 F 0.1190 0.7090 0.8523  -0.05
3 F 0.8810 0.8567 0.1477  -0.05
4 F 0.1190 0.1433 0.8523  -0.05
5 F 0.4594 0.8558 0.7116  -0.05
6 F 0.8810 0.2910 0.1477  -0.05
7 Ag 0.5000 0.0000 0.5000  -0.21
8 Ag 0.5000 0.5000 0.5000  -0.21
9 Ag 0.0000 0.5000 0.0000  -0.22
10 O 0.4297 0.6657 0.3313  -0.31
11 O 0.5703 0.3343 0.6687  -0.31
12 Pu 0.5000 0.0000 0.0000  3.89

***

No. 17
ZrTi2S after structural relaxation. Source: the Alexandria database, functional PBE-GGA.

Output
Formation energy from raw total energies   -0.453 eV per atom
Electronic total energy   -60.559 eV/cell
Space group   I-42d

a b c (Å): 7.5979 7.5979 5.9571
angles (deg): 50.38 50.38 90.00
Fractional positions:
1 S 0.5000 0.5000 0.0000
2 S 0.2500 0.7500 0.5000
3 Ti 0.5413 0.1250 0.2500
4 Ti 0.2087 0.6250 0.2500
5 Ti 0.3750 0.4587 0.7500
6 Ti 0.8750 0.7913 0.7500
7 Zr 0.7500 0.2500 0.5000
8 Zr 0.0000 0.0000 0.0000

***

No. 18
Rb3Tl2Hg8 after structural relaxation. Source: the Alexandria database, functional PBE-GGA.

Output
Electronic total energy   -11.601 eV/cell
Space group   R-3m
Energy of formation   -0.119 eV/atom

a b c (Å): 12.4545 12.4545 12.4545
angles (deg): 33.95 33.95 33.95
Fractional positions:
1 Hg 0.2799 0.2799 0.8559
2 Hg 0.6663 0.6663 0.6663
3 Hg 0.8559 0.2799 0.2799
4 Hg 0.7201 0.1441 0.7201
5 Hg 0.3337 0.3337 0.3337
6 Hg 0.2799 0.8559 0.2799
7 Hg 0.1441 0.7201 0.7201
8 Hg 0.7201 0.7201 0.1441
9 Tl 0.5790 0.5790 0.5790
10 Tl 0.4210 0.4210 0.4210
11 Rb 0.7673 0.7673 0.7673
12 Rb 0.2327 0.2327 0.2327
13 Rb 0.0000 0.0000 0.0000

***

No. 19
TaCuI2N after structural relaxation. Source: the Alexandria database, functional PBE-GGA.

Output
Formation energy from raw total energies   1.302 eV per atom
Electronic total energy   -20.866 eV/cell
Space group   P4/mmm
ΔE to the lowest computed polymorph   924.0 meV per atom

a b c (Å): 5.5460 5.5460 3.4887
angles (deg): 90.00 90.00 90.00
Site moments in Bohr magnetons follow the coordinates.
Fractional positions:
1 I 0.0000 0.5000 0.0000  -0.04
2 I 0.5000 0.0000 0.0000  -0.04
3 Ta 0.5000 0.5000 0.5000  1.23
4 N 0.0000 0.0000 0.5000  0.08
5 Cu 0.0000 0.0000 0.0000  0.00

***

No. 20
Ba2ReSb after structural relaxation. Source: the Alexandria database, functional PBE-GGA.

Output
Formation energy from raw total energies   0.619 eV per atom
Electronic total energy   -17.939 eV/cell
Space group   Cmmm

a b c (Å): 8.0366 6.1775 3.3021
angles (deg): 90.02 65.71 122.72
Fractional positions:
1 Ba 0.0000 0.0000 0.0000
2 Ba 0.5000 0.0000 0.5000
3 Sb 0.5000 0.5000 0.0000
4 Re 0.0000 0.5000 0.5000

***

No. 21
Tl2TeI4Br2 after structural relaxation. Source: the Alexandria database, functional PBE-GGA.

Output
Formation energy from raw total energies   -0.434 eV per atom
Electronic total energy   -21.324 eV/cell
Space group   C2/m

a b c (Å): 8.1766 8.0142 8.0142
angles (deg): 61.49 59.74 59.74
Fractional positions:
1 I 0.2974 0.6975 0.2071
2 I 0.7026 0.7929 0.3025
3 I 0.2974 0.2071 0.6975
4 I 0.7026 0.3025 0.7929
5 Br 0.1777 0.2371 0.2371
6 Br 0.8223 0.7629 0.7629
7 Te 0.5000 0.0000 0.0000
8 Tl 0.7430 0.2490 0.2490
9 Tl 0.2570 0.7510 0.7510

***

No. 22
Al2Ag5Cl12 after structural relaxation. Source: the Alexandria database, functional PBE-GGA.

Output
Formation energy from raw total energies   -0.841 eV per atom
Electronic total energy   -59.872 eV/cell
Space group   C2/m
ΔE to the lowest computed polymorph   0.0 meV per atom

a b c (Å): 7.0856 7.9758 9.6582
angles (deg): 105.52 90.00 116.37
Fractional positions:
1 Al 0.2498 0.0000 0.0000
2 Al 0.7502 0.0000 0.0000
3 Ag 0.2646 0.5291 0.2914
4 Ag 0.0000 0.0000 0.5000
5 Ag 0.7354 0.4709 0.7086
6 Ag 0.6995 0.3990 0.3711
7 Ag 0.3005 0.6010 0.6289
8 Cl 0.1106 0.7319 0.4632
9 Cl 0.0969 0.6717 0.8748
10 Cl 0.5288 0.0576 0.8489
11 Cl 0.3787 0.2681 0.5368
12 Cl 0.9713 0.9425 0.1485
13 Cl 0.4712 0.9424 0.1511
14 Cl 0.4252 0.3283 0.1252
15 Cl 0.0287 0.0575 0.8515
16 Cl 0.5748 0.6717 0.8748
17 Cl 0.6213 0.7319 0.4632
18 Cl 0.9031 0.3283 0.1252
19 Cl 0.8894 0.2681 0.5368

***

No. 23
PuPdRhAu after structural relaxation. Source: the Alexandria database, functional PBE-GGA.

Output
Electronic total energy   -31.178 eV/cell
Space group   F-43m
ΔE to the lowest computed polymorph   221.5 meV per atom
Energy of formation   -0.256 eV/atom

a b c (Å): 4.7271 4.7271 4.7271
angles (deg): 60.00 60.00 60.00
Site moments in Bohr magnetons follow the coordinates.
Fractional positions:
1 Pu 0.5000 0.5000 0.5000  4.97
2 Rh 0.7500 0.7500 0.7500  -0.37
3 Au 0.2500 0.2500 0.2500  -0.01
4 Pd 0.0000 0.0000 0.0000  0.00

***

No. 24
Nd6C3S2 after structural relaxation. Source: the Alexandria database, functional PBE-GGA.

Output
Formation energy from raw total energies   -0.837 eV per atom
Electronic total energy   -73.741 eV/cell
Space group   C2/m

a b c (Å): 6.6603 6.6617 7.0366
angles (deg): 80.82 71.39 60.01
Fractional positions:
1 S 0.8346 0.3308 0.5000
2 S 0.1654 0.6692 0.5000
3 Nd 0.7444 0.0000 0.7919
4 Nd 0.2556 0.0000 0.2081
5 Nd 0.9358 0.6594 0.2138
6 Nd 0.0642 0.3406 0.7862
7 Nd 0.4048 0.6594 0.7862
8 Nd 0.5952 0.3406 0.2138
9 C 0.0000 0.0000 0.0000
10 C 0.3285 0.3431 0.0000
11 C 0.6715 0.6569 0.0000

***

No. 25
Cs2In3Bi2 after structural relaxation. Source: the Alexandria database, functional PBE-GGA.

Output
Electronic total energy   -18.842 eV/cell
Space group   C2/m
ΔE to the lowest computed polymorph   14.0 meV per atom
Energy of formation   -0.165 eV/atom

a b c (Å): 4.7283 8.2552 8.1615
angles (deg): 94.21 90.00 106.64
Fractional positions:
1 Bi 0.8700 0.7400 0.7892
2 Bi 0.1300 0.2600 0.2108
3 Cs 0.1645 0.3291 0.7267
4 Cs 0.8355 0.6709 0.2733
5 In 0.5000 0.0000 0.0000
6 In 0.4515 0.9029 0.6419
7 In 0.5485 0.0971 0.3581